## w
{"formula": "Mg4InGa2", "functional": "GGA-PBE", "state": "optimized geometry", "rho_g_cm3": 3.78, "sg": "No. 166", "cell": [[-3.4649, 0.9436, -3.1485], [-4.2738, -2.0820, 0.4572], [-5.0058, 5.5796, 3.5588]], "species": ["Mg", "Mg", "Mg", "Mg", "In", "Ga", "Ga"], "fractional_positions": [[0.8692, 0.8692, 0.3925], [0.3878, 0.3878, 0.8366], [0.1308, 0.1308, 0.6075], [0.6122, 0.6122, 0.1634], [0.0000, 0.0000, 0.0000], [0.2491, 0.2491, 0.2528], [0.7509, 0.7509, 0.7472]]}


## x
{"formula": "Mg4InGa2", "functional": "GGA-PBE", "state": "optimized geometry", "rho_g_cm3": 3.84, "sg": "No. 1", "cell": [[6.1735, -0.6838, -0.4823], [-1.0756, 7.1436, -0.7547], [-2.7550, -4.0438, 7.7390]], "species": ["In", "In", "Mg", "Mg", "Mg", "Mg", "Mg", "Mg", "Mg", "Mg", "Ga", "Ga", "Ga", "Ga"], "fractional_positions": [[0.0568, 0.6620, 0.3648], [0.8828, 0.8720, 0.8936], [0.6550, 0.8307, 0.4925], [0.0361, 0.3588, 0.9632], [0.3599, 0.0083, 0.8088], [0.3523, 0.4924, 0.5497], [0.7812, 0.0882, 0.2068], [0.8391, 0.4710, 0.5559], [0.2726, 0.9638, 0.2560], [0.6287, 0.5538, 0.0307], [0.4447, 0.3266, 0.1980], [0.2816, 0.6918, 0.9048], [0.5654, 0.2346, 0.6635], [0.0939, 0.1960, 0.6117]]}


Which of the structures shown above is the most stable? The most stable is x.